1.
Here is an optimized crystal structure of KZr2Hg2 from Alexandria via LeMat-Bulk. Energies are from PBE-GGA.

Unit cell a=5.3745 b=5.3745 c=10.3855 alpha=90.00 beta=90.00 gamma=90.00
Space group I4/mmm (No. 139)
Inequivalent atoms, fractional coordinates:
K1 0.0000 0.0000 0.0000 (multiplicity 2)
Zr1 0.0000 0.0000 0.3532 (multiplicity 4)
Hg1 0.0000 0.5000 0.2500 (multiplicity 4)

Results
size of the total moment = 2.33 μB/cell
ΔE_f = 0.4559 eV per atom
D(E_F) = 11.4 states/eV per cell

---

2.
Here is an optimized crystal structure of KZr4Hg from Alexandria via LeMat-Bulk. Energies are from PBE-GGA.

Unit cell a=8.5038 b=8.5038 c=8.5038 alpha=90.00 beta=90.00 gamma=90.00
Space group F-43m (No. 216)
Inequivalent atoms, fractional coordinates:
K1 0.0000 0.0000 0.0000 (multiplicity 4)
Zr1 0.1232 0.1232 0.6232 (multiplicity 16)
Hg1 0.2500 0.2500 0.2500 (multiplicity 4)

Results
size of the total moment = 0.00 μB/cell
ΔE_f = 0.6120 eV per atom
D(E_F) = 23.2 states/eV per cell

---

3.
Here is an optimized crystal structure of K2ZrHg from Alexandria via LeMat-Bulk. Energies are from PBE-GGA.

Unit cell a=7.8985 b=7.8985 c=7.8985 alpha=90.00 beta=90.00 gamma=90.00
Space group F-43m (No. 216)
Inequivalent atoms, fractional coordinates:
K1 0.0000 0.0000 0.0000 (multiplicity 4)
K2 0.2500 0.2500 0.2500 (multiplicity 4)
Zr1 0.2500 0.2500 0.7500 (multiplicity 4)
Hg1 0.0000 0.0000 0.5000 (multiplicity 4)

Results
size of the total moment = 1.72 μB/cell
ΔE_f = 0.7391 eV per atom
D(E_F) = 18.7 states/eV per cell

---

4.
Here is an optimized crystal structure of LaHg8 from Alexandria via LeMat-Bulk. Energies are from PBE-GGA.

Unit cell a=10.1494 b=10.1494 c=4.6077 alpha=90.00 beta=90.00 gamma=90.00
Space group I4/mmm (No. 139)
Inequivalent atoms, fractional coordinates:
La1 0.0000 0.0000 0.0000 (multiplicity 2)
Hg1 0.0000 0.3358 0.0000 (multiplicity 8)
Hg2 0.1699 0.1699 0.5000 (multiplicity 8)

Results
size of the total moment = 0.00 μB/cell
ΔE_f = -0.1993 eV per atom
D(E_F) = 8.9 states/eV per cell

---

5.
Here is an optimized crystal structure of LaHg from Alexandria via LeMat-Bulk. Energies are from PBE-GGA.

Unit cell a=3.9817 b=5.2490 c=11.2037 alpha=90.00 beta=90.00 gamma=90.00
Space group Imma (No. 74)
Inequivalent atoms, fractional coordinates:
La1 0.0000 0.2500 0.1143 (multiplicity 4)
Hg1 0.0000 0.2500 0.6439 (multiplicity 4)

Results
size of the total moment = 0.00 μB/cell
ΔE_f = -0.4199 eV per atom
D(E_F) = 6.2 states/eV per cell

---

6.
Here is an optimized crystal structure of La3Hg from Alexandria via LeMat-Bulk. Energies are from PBE-GGA.

Unit cell a=3.7522 b=11.5422 c=6.0661 alpha=90.00 beta=90.00 gamma=90.00
Space group Imm2 (No. 44)
Inequivalent atoms, fractional coordinates:
La1 0.0000 0.0000 0.0000 (multiplicity 2)
La2 0.0000 0.2186 0.3919 (multiplicity 4)
Hg1 0.0000 0.5000 0.0507 (multiplicity 2)

Results
size of the total moment = 0.00 μB/cell
ΔE_f = -0.2410 eV per atom
D(E_F) = 10.7 states/eV per cell